# 1
Computed, not measured: LiMg2As2 after structural relaxation at the PBE-GGA level of DFT.

## Properties
Excess energy over the best structure of this formula in the dataset: 0.18 eV/f.u.

Cell and atoms, written as extended XYZ:
```
5
Lattice="-2.201 2.201 5.846 2.201 -2.201 5.846 2.201 2.201 -5.846" Properties=species:S:1:pos:R:3 pbc="T T T"
Li 0.000 0.000 0.000
Mg 2.201 0.000 2.923
Mg 0.000 2.201 2.923
As 0.000 0.000 4.453
As 0.000 0.000 7.238
```



# 2
Computed, not measured: Sc4Zn3Rh after structural relaxation at the PBE-GGA level of DFT.

## Properties
Uncorrected energy: -5.10 eV per atom

Cell and atoms, written as extended XYZ:
```
8
Lattice="3.364 0.000 0.000 0.000 4.673 0.000 0.000 0.000 9.298" Properties=species:S:1:pos:R:3 pbc="T T T"
Sc 0.000 0.000 0.000
Sc 0.000 0.000 4.649
Sc 0.000 2.337 2.213
Sc 0.000 2.337 7.085
Zn 1.682 0.000 2.346
Zn 1.682 0.000 6.952
Zn 1.682 2.337 4.649
Rh 1.682 2.337 0.000
```



# 3
Computed, not measured: TlIr2Au after structural relaxation at the PBE-GGA level of DFT.

## Properties
Excess energy over the best structure of this formula in the dataset: 0.62 eV/f.u.

Cell and atoms, written as extended XYZ:
```
4
Lattice="2.976 -3.822 0.000 2.976 3.822 0.000 0.000 0.000 3.015" Properties=species:S:1:pos:R:3 pbc="T T T"
Tl 0.000 0.000 0.000
Ir 1.488 1.911 1.507
Ir 1.488 -1.911 1.507
Au 2.976 0.000 0.000
```



# 4
Computed, not measured: Cs2KTlF after structural relaxation at the PBE-GGA level of DFT.

## Properties
Raw formation energy: -1.006 eV/atom
Excess energy over the best structure of this formula in the dataset: 0.00 eV/f.u.

Cell and atoms, written as extended XYZ:
```
5
Lattice="6.286 0.000 0.000 0.000 6.286 0.000 0.000 0.000 5.386" Properties=species:S:1:pos:R:3 pbc="T T T"
Cs 0.000 3.143 0.000
Cs 3.143 0.000 0.000
K 0.000 0.000 2.693
Tl 3.143 3.143 2.693
F 0.000 0.000 0.000
```



# 5
Computed, not measured: TaCo2Ag after structural relaxation at the PBE-GGA level of DFT.

## Properties
Excess energy over the best structure of this formula in the dataset: 0.00 eV/f.u.

Cell and atoms, written as extended XYZ:
```
4
Lattice="3.092 0.000 0.000 0.000 3.092 0.000 0.000 0.000 5.933" Properties=species:S:1:pos:R:3 pbc="T T T"
Ta 0.000 0.000 0.000
Co 1.546 1.546 1.329
Co 1.546 1.546 4.604
Ag 0.000 0.000 2.967
```



# 6
Computed, not measured: Ho2ZnB2Ir5 after structural relaxation at the PBE-GGA level of DFT.

## Properties
Uncorrected energy: -7.50 eV per atom

Cell and atoms, written as extended XYZ:
```
20
Lattice="9.620 0.000 0.000 0.000 9.620 0.000 0.000 0.000 3.129" Properties=species:S:1:pos:R:3 pbc="T T T"
Ho 1.707 3.103 0.000
Ho 3.103 7.913 0.000
Ho 6.517 1.707 0.000
Ho 7.913 6.517 0.000
Zn 0.000 0.000 0.000
Zn 4.810 4.810 0.000
B 1.182 5.992 0.000
B 3.628 1.182 0.000
B 5.992 8.438 0.000
B 8.438 3.628 0.000
Ir 0.000 4.810 1.565
Ir 0.651 7.505 1.565
Ir 2.114 0.651 1.565
Ir 2.696 5.461 1.565
Ir 4.158 2.696 1.565
Ir 4.810 0.000 1.565
Ir 5.461 6.924 1.565
Ir 6.924 4.158 1.565
Ir 7.505 8.968 1.565
Ir 8.968 2.114 1.565
```